First-principles (GGA-PBE) data for crystalline CoHgTe2I at its relaxed geometry, as listed in Alexandria via LeMat-Bulk.

## Properties
The calculation puts the total energy at -1.914 eV/atom. The value obtained for the relative energy among the computed polymorphs is 389 kJ/mol of formula units. As for the calculated volume: 37.2 Å³/atom. Its uncorrected formation energy is 1135 meV per atom.

Cell: 5.6163 5.6163 5.9007 Å, 90.00 90.00 90.00°
Space group P4/mmm (No. 123)
Unique sites:
Co  0.0000  0.0000  0.0000 [1 per cell]
Hg  0.5000  0.5000  0.5000 [1 per cell]
Te  0.0000  0.5000  0.5000 [2 per cell]
I  0.5000  0.5000  0.0000 [1 per cell]